BaBiIr3: optimized geometry, GGA-PBE.

The structure in CIF format:
```
data_BaBiIr3
_cell_length_a 5.115
_cell_length_b 5.115
_cell_length_c 5.115
_cell_angle_alpha 90.00
_cell_angle_beta 90.00
_cell_angle_gamma 90.00
_symmetry_space_group_name_H-M 'P m -3 m'
_symmetry_Int_Tables_number 221
_symmetry_space_group_name_Hall '-P 4 2 3'
loop_
_atom_site_label
_atom_site_fract_x
_atom_site_fract_y
_atom_site_fract_z
Ba1 0.000 0.000 0.000
Bi1 0.500 0.500 0.500
Ir1 0.000 0.500 0.500
```

Energy: -26.874 eV for the cell shown
D(E_F): 4.23 states/eV/cell